A relaxed structure of NaSmC2O6. Source: Alexandria via LeMat-Bulk, functional PBE.

Calculated values
**Energy above the lowest structure with this stoichiometry**: 0 meV/atom
**Space-group type**: Pmc2_1 (26)
**Raw formation energy**: -2030.5 kJ/mol of formula units

Cell: 5.1418 6.4094 7.0692 Å, 90.00 90.00 90.00°
Atoms (fractional coordinates):
Na (0.0000, 0.0245, 0.0000)
Na (0.0000, 0.9755, 0.5000)
Sm (0.5000, 0.3646, 0.3020)
Sm (0.5000, 0.6354, 0.8020)
C (0.0000, 0.4716, 0.9730)
C (0.0000, 0.5284, 0.4730)
C (0.5000, 0.0822, 0.7148)
C (0.5000, 0.9178, 0.2148)
O (0.0000, 0.3528, 0.3838)
O (0.0000, 0.6472, 0.8838)
O (0.2225, 0.3839, 0.0106)
O (0.2225, 0.6161, 0.5106)
O (0.2867, 0.0156, 0.2525)
O (0.2867, 0.9844, 0.7525)
O (0.5000, 0.2666, 0.6366)
O (0.5000, 0.7334, 0.1366)
O (0.7133, 0.0156, 0.2525)
O (0.7133, 0.9844, 0.7525)
O (0.7775, 0.3839, 0.0106)
O (0.7775, 0.6161, 0.5106)